Entry 1:
# ErScFeCo, relaxed, DFT PBE
# Formation enthalpy at 0 K: -78 meV per atom
# Magnetization: 1.281 μB/cell
# V: 262.84 Å³ per cell
data_ErScFeCo
_chemical_formula_sum 'Er4 Sc4 Fe4 Co4'
_cell_length_a 6.406
_cell_length_b 6.406
_cell_length_c 6.406
_cell_angle_alpha 90.00
_cell_angle_beta 90.00
_cell_angle_gamma 90.00
_symmetry_space_group_name_H-M 'F -4 3 m'
_symmetry_Int_Tables_number 216
_symmetry_space_group_name_Hall 'F -4 2 3'
loop_
_atom_site_label
_atom_site_type_symbol
_atom_site_fract_x
_atom_site_fract_y
_atom_site_fract_z
_atom_site_occupancy
Er1 Er 0.000 0.000 0.000 1
Sc1 Sc 0.000 0.000 0.500 1
Fe1 Fe 0.250 0.250 0.750 1
Co1 Co 0.250 0.250 0.250 1

Entry 2:
# ErAl2Ga4, relaxed, DFT PBE
# Formation enthalpy at 0 K: 32 meV per atom
# Magnetization: 0.000 μB/cell
# V: 150.85 Å³ per cell
data_ErAl2Ga4
_chemical_formula_sum 'Er1 Al2 Ga4'
_cell_length_a 3.983
_cell_length_b 3.983
_cell_length_c 9.508
_cell_angle_alpha 90.00
_cell_angle_beta 90.00
_cell_angle_gamma 90.00
_symmetry_space_group_name_H-M 'P -4 2 m'
_symmetry_Int_Tables_number 111
loop_
_symmetry_equiv_pos_as_xyz
'x,y,z'
'y,-x,-z'
'-x,-y,z'
'-y,x,-z'
'x,-y,-z'
'y,x,z'
'-x,y,-z'
'-y,-x,z'
loop_
_atom_site_label
_atom_site_type_symbol
_atom_site_fract_x
_atom_site_fract_y
_atom_site_fract_z
_atom_site_occupancy
Er1 Er 0.000 0.000 0.000 1
Al1 Al 0.000 0.500 0.500 1
Ga1 Ga 0.258 0.258 0.260 1

Entry 3:
# CdHg2Cl6, relaxed, DFT PBE
# Energy relative to the elements, uncorrected: -0.71 eV/atom
# Magnetization: 0.000 μB/cell
# V: 508.62 Å³ per cell
data_CdHg2Cl6
_chemical_formula_sum 'Cd2 Hg4 Cl12'
_cell_length_a 6.586
_cell_length_b 6.586
_cell_length_c 11.724
_cell_angle_alpha 90.00
_cell_angle_beta 90.00
_cell_angle_gamma 90.00
_symmetry_space_group_name_H-M 'P 42/m n m'
_symmetry_Int_Tables_number 136
_symmetry_space_group_name_Hall '-P 4n 2n'
loop_
_atom_site_label
_atom_site_type_symbol
_atom_site_fract_x
_atom_site_fract_y
_atom_site_fract_z
_atom_site_occupancy
Cd1 Cd 0.000 0.000 0.000 1
Hg1 Hg 0.000 0.000 0.333 1
Cl1 Cl 0.187 0.187 0.165 1
Cl2 Cl 0.191 0.191 0.500 1

Entry 4:
# SrTlPd2, relaxed, DFT PBE
# Formation enthalpy at 0 K: -487 meV per atom
# Magnetization: 0.000 μB/cell
# V: 296.71 Å³ per cell
data_SrTlPd2
_chemical_formula_sum 'Sr3 Tl3 Pd6'
_cell_length_a 4.7558
_cell_length_b 4.7558
_cell_length_c 15.1479
_cell_angle_alpha 90.00
_cell_angle_beta 90.00
_cell_angle_gamma 120.00
_symmetry_space_group_name_H-M 'R -3 m'
_symmetry_Int_Tables_number 166
_symmetry_space_group_name_Hall '-R 3 2"'
loop_
_atom_site_label
_atom_site_type_symbol
_atom_site_fract_x
_atom_site_fract_y
_atom_site_fract_z
_atom_site_occupancy
Sr1 Sr 0.0000 0.0000 0.0000 1
Tl1 Tl 0.0000 0.0000 0.5000 1
Pd1 Pd 0.0000 0.0000 0.2016 1

Entry 5:
# KNa2Cl, relaxed, DFT PBE
# Energy relative to the elements, uncorrected: -0.43 eV/atom
# Magnetization: 0.000 μB/cell
# V: 611.60 Å³ per cell
data_KNa2Cl
_chemical_formula_sum 'K4 Na8 Cl4'
_cell_length_a 8.488
_cell_length_b 8.488
_cell_length_c 8.488
_cell_angle_alpha 90.00
_cell_angle_beta 90.00
_cell_angle_gamma 90.00
_symmetry_space_group_name_H-M 'F m -3 m'
_symmetry_Int_Tables_number 225
_symmetry_space_group_name_Hall '-F 4 2 3'
loop_
_atom_site_label
_atom_site_type_symbol
_atom_site_fract_x
_atom_site_fract_y
_atom_site_fract_z
_atom_site_occupancy
K1 K 0.000 0.000 0.000 1
Na1 Na 0.250 0.250 0.250 1
Cl1 Cl 0.000 0.000 0.500 1

Entry 6:
# V2Os2Ru7, relaxed, DFT PBE
# Formation enthalpy at 0 K: 224 meV per atom
# Magnetization: 0.000 μB/cell
# V: 324.05 Å³ per cell
data_V2Os2Ru7
_chemical_formula_sum 'V4 Os4 Ru14'
_cell_length_a 8.525
_cell_length_b 8.937
_cell_length_c 4.756
_cell_angle_alpha 90.00
_cell_angle_beta 116.57
_cell_angle_gamma 90.00
_symmetry_space_group_name_H-M 'C 1 2/m 1'
_symmetry_Int_Tables_number 12
loop_
_symmetry_equiv_pos_as_xyz
'x,y,z'
'-x,-y,-z'
'-x,y,-z'
'x,-y,z'
'x+1/2,y+1/2,z'
'-x+1/2,-y+1/2,-z'
'-x+1/2,y+1/2,-z'
'x+1/2,-y+1/2,z'
loop_
_atom_site_label
_atom_site_type_symbol
_atom_site_fract_x
_atom_site_fract_y
_atom_site_fract_z
_atom_site_occupancy
V1 V 0.000 0.165 0.000 1
Os1 Os 0.241 0.500 0.935 1
Ru1 Ru 0.000 0.000 0.500 1
Ru2 Ru 0.111 0.500 0.322 1
Ru3 Ru 0.175 0.245 0.671 1

Entry 7:
# CaNiAgMo2, relaxed, DFT PBE
# Formation enthalpy at 0 K: 1711 meV per atom
# Magnetization: 7.469 μB/cell
# V: 123.33 Å³ per cell
data_CaNiAgMo2
_chemical_formula_sum 'Ca1 Ni1 Ag1 Mo2'
_cell_length_a 5.092
_cell_length_b 5.092
_cell_length_c 4.757
_cell_angle_alpha 90.00
_cell_angle_beta 90.00
_cell_angle_gamma 90.00
_symmetry_space_group_name_H-M 'P 4/m m m'
_symmetry_Int_Tables_number 123
_symmetry_space_group_name_Hall '-P 4 2'
loop_
_atom_site_label
_atom_site_type_symbol
_atom_site_fract_x
_atom_site_fract_y
_atom_site_fract_z
_atom_site_occupancy
Ca1 Ca 0.000 0.000 0.000 1
Ni1 Ni 0.500 0.500 0.000 1
Ag1 Ag 0.500 0.500 0.500 1
Mo1 Mo 0.000 0.500 0.500 1

Entry 8:
# CdNiRh3, relaxed, DFT PBE
# Formation enthalpy at 0 K: 1958 meV per atom
# Magnetization: 4.027 μB/cell
# V: 114.41 Å³ per cell
data_CdNiRh3
_chemical_formula_sum 'Cd1 Ni1 Rh3'
_cell_length_a 4.855
_cell_length_b 4.855
_cell_length_c 4.855
_cell_angle_alpha 90.00
_cell_angle_beta 90.00
_cell_angle_gamma 90.00
_symmetry_space_group_name_H-M 'P m -3 m'
_symmetry_Int_Tables_number 221
_symmetry_space_group_name_Hall '-P 4 2 3'
loop_
_atom_site_label
_atom_site_type_symbol
_atom_site_fract_x
_atom_site_fract_y
_atom_site_fract_z
_atom_site_occupancy
Cd1 Cd 0.000 0.000 0.000 1
Ni1 Ni 0.500 0.500 0.500 1
Rh1 Rh 0.000 0.000 0.500 1

Entry 9:
# K2YPb, relaxed, DFT PBE
# Formation enthalpy at 0 K: 304 meV per atom
# Magnetization: 0.000 μB/cell
# V: 780.59 Å³ per cell
data_K2YPb
_chemical_formula_sum 'K8 Y4 Pb4'
_cell_length_a 11.263
_cell_length_b 11.263
_cell_length_c 6.154
_cell_angle_alpha 90.00
_cell_angle_beta 90.00
_cell_angle_gamma 90.00
_symmetry_space_group_name_H-M 'I -4 2 d'
_symmetry_Int_Tables_number 122
_symmetry_space_group_name_Hall 'I -4 2bw'
loop_
_atom_site_label
_atom_site_type_symbol
_atom_site_fract_x
_atom_site_fract_y
_atom_site_fract_z
_atom_site_occupancy
K1 K 0.165 0.250 0.125 1
Y1 Y 0.000 0.000 0.500 1
Pb1 Pb 0.000 0.000 0.000 1

Entry 10:
# In3SnCl6, relaxed, DFT PBE
# Energy relative to the elements, uncorrected: -0.88 eV/atom
# Magnetization: 0.000 μB/cell
# V: 2195.12 Å³ per cell
data_In3SnCl6
_chemical_formula_sum 'In18 Sn6 Cl36'
_cell_length_a 13.2045
_cell_length_b 13.2045
_cell_length_c 14.5373
_cell_angle_alpha 90.00
_cell_angle_beta 90.00
_cell_angle_gamma 120.00
_symmetry_space_group_name_H-M 'R -3'
_symmetry_Int_Tables_number 148
_symmetry_space_group_name_Hall '-R 3'
loop_
_atom_site_label
_atom_site_type_symbol
_atom_site_fract_x
_atom_site_fract_y
_atom_site_fract_z
_atom_site_occupancy
In1 In 0.0477 0.7631 0.2044 1
Sn1 Sn 0.0000 0.0000 0.0000 1
Sn2 Sn 0.0000 0.0000 0.5000 1
Cl1 Cl 0.0127 0.8519 0.9015 1
Cl2 Cl 0.0465 0.8433 0.3966 1

Entry 11:
# LiLaThHg, relaxed, DFT PBE
# Formation enthalpy at 0 K: -60 meV per atom
# Magnetization: 0.028 μB/cell
# V: 447.47 Å³ per cell
data_LiLaThHg
_chemical_formula_sum 'Li4 La4 Th4 Hg4'
_cell_length_a 7.649
_cell_length_b 7.649
_cell_length_c 7.649
_cell_angle_alpha 90.00
_cell_angle_beta 90.00
_cell_angle_gamma 90.00
_symmetry_space_group_name_H-M 'F -4 3 m'
_symmetry_Int_Tables_number 216
_symmetry_space_group_name_Hall 'F -4 2 3'
loop_
_atom_site_label
_atom_site_type_symbol
_atom_site_fract_x
_atom_site_fract_y
_atom_site_fract_z
_atom_site_occupancy
Li1 Li 0.000 0.000 0.000 1
La1 La 0.250 0.250 0.250 1
Th1 Th 0.250 0.250 0.750 1
Hg1 Hg 0.000 0.000 0.500 1

Entry 12:
# K4Br2Cl, relaxed, DFT PBE
# Energy relative to the elements, uncorrected: -1.41 eV/atom
# Magnetization: 0.000 μB/cell
# V: 608.47 Å³ per cell
data_K4Br2Cl
_chemical_formula_sum 'K8 Br4 Cl2'
_cell_length_a 5.974
_cell_length_b 5.974
_cell_length_c 17.049
_cell_angle_alpha 90.00
_cell_angle_beta 90.00
_cell_angle_gamma 90.00
_symmetry_space_group_name_H-M 'I 4/m m m'
_symmetry_Int_Tables_number 139
_symmetry_space_group_name_Hall '-I 4 2'
loop_
_atom_site_label
_atom_site_type_symbol
_atom_site_fract_x
_atom_site_fract_y
_atom_site_fract_z
_atom_site_occupancy
K1 K 0.000 0.000 0.195 1
K2 K 0.000 0.500 0.000 1
Br1 Br 0.000 0.000 0.384 1
Cl1 Cl 0.000 0.000 0.000 1